Here is crystalline Ba3YAl2O8 at its relaxed geometry from Alexandria via LeMat-Bulk. Energies are from GGA-PBE.

Properties
- uncorrected formation energy (eV per formula unit) = -39.9

```
data_Ba3YAl2O8
_cell_length_a 5.9493
_cell_length_b 5.9493
_cell_length_c 7.5904
_cell_angle_alpha 90.00
_cell_angle_beta 90.00
_cell_angle_gamma 120.00
_space_group_name_H-M_alt 'P -3 m 1'
_space_group_IT_number 164
_space_group_name_Hall '-P 3 2"'
loop_
_atom_site_label
_atom_site_type_symbol
_atom_site_fract_x
_atom_site_fract_y
_atom_site_fract_z
_atom_site_occupancy
Ba1 Ba 0.0000 0.0000 0.0000 1
Ba2 Ba 0.3333 0.6667 0.6668 1
Y1 Y 0.0000 0.0000 0.5000 1
Al1 Al 0.3333 0.6667 0.2292 1
O1 O 0.1734 0.3467 0.3175 1
O2 O 0.3333 0.6667 0.9982 1
```